Density functional theory data (GGA+U) for a relaxed Ba2YV3O8 crystal.

Cell: 4.004 4.004 11.813 Å, 90.00 90.00 90.00°
Each line ends with the local moment (μB).
Fractional coordinates of all 14 atoms:
Ba  0.000  0.000  0.165  0.01
Ba  0.000  0.000  0.835  0.01
Y  0.000  0.000  0.500  0.04
V  0.500  0.500  0.000  1.82
V  0.500  0.500  0.342  1.93
V  0.500  0.500  0.658  1.93
O  0.000  0.500  0.000  -0.01
O  0.500  0.000  0.000  -0.01
O  0.500  0.500  0.184  -0.08
O  0.500  0.500  0.816  -0.08
O  0.500  0.000  0.381  -0.02
O  0.000  0.500  0.381  -0.02
O  0.500  0.000  0.619  -0.02
O  0.000  0.500  0.619  -0.02

Calculated values
- total magnetization (Bohr magnetons per cell) = 6.0
- SG = P4/mmm
- energy (eV per atom) = -7.61